A plane-wave DFT calculation with PBE was carried out for a relaxed structure of VPbW.

Lattice parameters (Å, degrees): 3.122 4.628 9.133 100.42 96.36 101.93
Fractional positions:
V1 0.000 0.000 0.000
V2 0.326 0.544 0.921
Pb1 0.282 0.468 0.450
Pb2 0.494 0.030 0.721
W1 0.450 0.963 0.230
W2 0.788 0.477 0.144

Values from the calculation:
Distance to the lowest polymorph of the same formula (eV/atom): 0.116
E_form (eV per atom): 0.483